[1]
{
  "formula": "MgZrCd",
  "functional": "PBE",
  "state": "optimized geometry",
  "total_energy_ev_per_atom": -3.1032,
  "density_kg_m3": 4770,
  "ef_ev_per_atom": 0.58,
  "lattice_angstrom": [[6.821, 0.000, 0.000], [0.000, 6.821, 0.000], [0.000, 0.000, 6.821]],
  "species": ["Mg", "Mg", "Mg", "Mg", "Zr", "Zr", "Zr", "Zr", "Cd", "Cd", "Cd", "Cd"],
  "frac_coords": [[0.000, 0.000, 0.000], [0.000, 0.500, 0.500], [0.500, 0.000, 0.500], [0.500, 0.500, 0.000], [0.250, 0.250, 0.250], [0.250, 0.750, 0.750], [0.750, 0.250, 0.750], [0.750, 0.750, 0.250], [0.000, 0.000, 0.500], [0.000, 0.500, 0.000], [0.500, 0.000, 0.000], [0.500, 0.500, 0.500]]
}


[2]
{
  "formula": "Mg2ZrCd8",
  "functional": "PBE",
  "state": "optimized geometry",
  "total_energy_ev_per_atom": -1.7080,
  "density_kg_m3": 6792,
  "ef_ev_per_atom": 0.02,
  "lattice_angstrom": [[4.526, -5.965, 0.000], [4.526, 5.965, 0.000], [-0.015, 0.000, 4.705]],
  "species": ["Mg", "Mg", "Zr", "Cd", "Cd", "Cd", "Cd", "Cd", "Cd", "Cd", "Cd"],
  "frac_coords": [[0.125, 0.875, 0.000], [0.875, 0.125, 0.000], [0.500, 0.500, 0.500], [0.167, 0.167, 0.500], [0.197, 0.463, 0.999], [0.253, 0.747, 0.500], [0.463, 0.197, 0.999], [0.537, 0.803, 0.001], [0.747, 0.253, 0.500], [0.803, 0.537, 0.001], [0.833, 0.833, 0.500]]
}


[3]
{
  "formula": "Mg2ZrCd6",
  "functional": "PBE",
  "state": "optimized geometry",
  "total_energy_ev_per_atom": -1.9909,
  "density_kg_m3": 6892,
  "ef_ev_per_atom": -0.08,
  "lattice_angstrom": [[7.593, -4.213, 0.000], [7.593, 4.213, 0.000], [-0.600, 0.000, 3.067]],
  "species": ["Mg", "Mg", "Zr", "Cd", "Cd", "Cd", "Cd", "Cd", "Cd"],
  "frac_coords": [[0.149, 0.149, 0.136], [0.851, 0.851, 0.864], [0.500, 0.500, 0.000], [0.156, 0.500, 0.333], [0.173, 0.827, 0.500], [0.500, 0.156, 0.333], [0.500, 0.844, 0.667], [0.827, 0.173, 0.500], [0.844, 0.500, 0.667]]
}


[4]
{
  "formula": "Mg2ZrCd2",
  "functional": "PBE",
  "state": "optimized geometry",
  "total_energy_ev_per_atom": -2.7601,
  "polymorph_energy_ev_per_atom": 0.000,
  "density_kg_m3": 5393,
  "ef_ev_per_atom": -0.05,
  "lattice_angstrom": [[3.136, 0.000, 0.000], [0.000, 22.424, 0.000], [0.000, 0.000, 3.193]],
  "species": ["Mg", "Mg", "Mg", "Mg", "Zr", "Zr", "Cd", "Cd", "Cd", "Cd"],
  "frac_coords": [[0.000, 0.190, 0.000], [0.000, 0.810, 0.000], [0.500, 0.310, 0.000], [0.500, 0.690, 0.000], [0.000, 0.000, 0.000], [0.500, 0.500, 0.000], [0.000, 0.403, 0.500], [0.000, 0.597, 0.500], [0.500, 0.097, 0.500], [0.500, 0.903, 0.500]]
}


[5]
{
  "formula": "Mg2Zr3Cd",
  "functional": "PBE",
  "state": "optimized geometry",
  "total_energy_ev_per_atom": -4.9368,
  "density_kg_m3": 5250,
  "ef_ev_per_atom": 0.02,
  "lattice_angstrom": [[8.081, -1.560, 0.000], [8.081, 1.560, 0.000], [-2.828, 0.000, 10.904]],
  "species": ["Mg", "Mg", "Mg", "Mg", "Zr", "Zr", "Zr", "Zr", "Zr", "Zr", "Cd", "Cd"],
  "frac_coords": [[0.063, 0.063, 0.187], [0.239, 0.239, 0.114], [0.761, 0.761, 0.886], [0.937, 0.937, 0.813], [0.102, 0.102, 0.701], [0.245, 0.245, 0.382], [0.422, 0.422, 0.550], [0.578, 0.578, 0.450], [0.755, 0.755, 0.618], [0.898, 0.898, 0.299], [0.410, 0.410, 0.049], [0.590, 0.590, 0.951]]
}


[6]
{
  "formula": "MgZr2Cd2",
  "functional": "PBE",
  "state": "optimized geometry",
  "total_energy_ev_per_atom": -3.9234,
  "polymorph_energy_ev_per_atom": 0.163,
  "density_kg_m3": 6033,
  "ef_ev_per_atom": 0.18,
  "lattice_angstrom": [[8.735, 0.000, 0.000], [0.000, 8.735, 0.000], [0.000, 0.000, 3.114]],
  "species": ["Mg", "Mg", "Zr", "Zr", "Zr", "Zr", "Cd", "Cd", "Cd", "Cd"],
  "frac_coords": [[0.000, 0.000, 0.000], [0.500, 0.500, 0.000], [0.121, 0.379, 0.000], [0.379, 0.879, 0.000], [0.621, 0.121, 0.000], [0.879, 0.621, 0.000], [0.175, 0.675, 0.500], [0.325, 0.175, 0.500], [0.675, 0.825, 0.500], [0.825, 0.325, 0.500]]
}


[7]
{
  "formula": "MnCd3",
  "functional": "PBE",
  "state": "optimized geometry",
  "total_energy_ev_per_atom": -2.7787,
  "density_kg_m3": 8215,
  "ef_ev_per_atom": 0.20,
  "lattice_angstrom": [[4.367, 0.000, 0.000], [0.000, 4.367, 0.000], [0.000, 0.000, 8.314]],
  "species": ["Mn", "Mn", "Cd", "Cd", "Cd", "Cd", "Cd", "Cd"],
  "frac_coords": [[0.000, 0.000, 0.000], [0.500, 0.500, 0.500], [0.000, 0.000, 0.500], [0.000, 0.500, 0.250], [0.000, 0.500, 0.750], [0.500, 0.000, 0.250], [0.500, 0.000, 0.750], [0.500, 0.500, 0.000]]
}


[8]
{
  "formula": "Mn4Cd",
  "functional": "PBE",
  "state": "optimized geometry",
  "total_energy_ev_per_atom": -7.0510,
  "polymorph_energy_ev_per_atom": 0.118,
  "density_kg_m3": 7165,
  "ef_ev_per_atom": 0.47,
  "lattice_angstrom": [[6.307, 0.000, 0.000], [0.000, 6.307, 0.000], [0.000, 0.000, 3.870]],
  "species": ["Mn", "Mn", "Mn", "Mn", "Mn", "Mn", "Mn", "Mn", "Cd", "Cd"],
  "frac_coords": [[0.101, 0.688, 0.000], [0.188, 0.399, 0.500], [0.312, 0.101, 0.000], [0.399, 0.812, 0.500], [0.601, 0.188, 0.500], [0.688, 0.899, 0.000], [0.812, 0.601, 0.500], [0.899, 0.312, 0.000], [0.000, 0.000, 0.500], [0.500, 0.500, 0.000]]
}


[9]
{
  "formula": "MnCd3",
  "functional": "PBE",
  "state": "optimized geometry",
  "total_energy_ev_per_atom": -2.7906,
  "density_kg_m3": 8153,
  "ef_ev_per_atom": 0.19,
  "lattice_angstrom": [[5.257, 0.000, 0.000], [0.000, 9.799, 0.000], [0.000, 0.000, 6.202]],
  "species": ["Mn", "Mn", "Mn", "Mn", "Cd", "Cd", "Cd", "Cd", "Cd", "Cd", "Cd", "Cd", "Cd", "Cd", "Cd", "Cd"],
  "frac_coords": [[0.079, 0.250, 0.132], [0.421, 0.750, 0.632], [0.579, 0.250, 0.368], [0.921, 0.750, 0.868], [0.068, 0.250, 0.614], [0.240, 0.507, 0.871], [0.240, 0.993, 0.871], [0.260, 0.007, 0.371], [0.260, 0.493, 0.371], [0.432, 0.750, 0.114], [0.568, 0.250, 0.886], [0.740, 0.507, 0.629], [0.740, 0.993, 0.629], [0.760, 0.007, 0.129], [0.760, 0.493, 0.129], [0.932, 0.750, 0.386]]
}


[10]
{
  "formula": "Mn3Cd",
  "functional": "PBE",
  "state": "optimized geometry",
  "total_energy_ev_per_atom": -6.6268,
  "density_kg_m3": 7165,
  "ef_ev_per_atom": 0.48,
  "lattice_angstrom": [[2.804, 0.000, 0.000], [0.000, 4.569, 0.000], [0.000, 0.000, 5.016]],
  "species": ["Mn", "Mn", "Mn", "Cd"],
  "frac_coords": [[0.000, 0.000, 0.000], [0.000, 0.500, 0.294], [0.500, 0.500, 0.840], [0.500, 0.000, 0.507]]
}


[11]
{
  "formula": "MnCd3",
  "functional": "PBE",
  "state": "optimized geometry",
  "total_energy_ev_per_atom": -2.7842,
  "density_kg_m3": 8175,
  "ef_ev_per_atom": 0.19,
  "lattice_angstrom": [[10.027, 0.000, 0.000], [0.000, 3.037, 0.000], [-1.093, 0.000, 5.231]],
  "species": ["Mn", "Mn", "Cd", "Cd", "Cd", "Cd", "Cd", "Cd"],
  "frac_coords": [[0.000, 0.000, 0.000], [0.500, 0.500, 0.000], [0.000, 0.500, 0.500], [0.243, 0.500, 0.239], [0.257, 0.000, 0.761], [0.500, 0.000, 0.500], [0.743, 0.000, 0.239], [0.757, 0.500, 0.761]]
}


[12]
{
  "formula": "MnCd3",
  "functional": "PBE",
  "state": "optimized geometry",
  "total_energy_ev_per_atom": -2.7847,
  "density_kg_m3": 8224,
  "ef_ev_per_atom": 0.19,
  "lattice_angstrom": [[3.049, 0.000, 0.000], [0.000, 4.055, 0.000], [0.000, 0.000, 6.404]],
  "species": ["Mn", "Cd", "Cd", "Cd"],
  "frac_coords": [[0.000, 0.000, 0.000], [0.000, 0.000, 0.500], [0.500, 0.500, 0.230], [0.500, 0.500, 0.770]]
}